# KMnTlI4, relaxed, DFT PBE-GGA
# - raw total energy (eV/atom) = -3.4610
# - ΔE_f (raw) (meV per atom) = -770
data_KMnTlI4
_cell_length_a 8.393
_cell_length_b 8.393
_cell_length_c 12.039
_cell_angle_alpha 90.00
_cell_angle_beta 90.00
_cell_angle_gamma 90.00
_symmetry_space_group_name_H-M 'I -4'
_symmetry_Int_Tables_number 82
loop_
_symmetry_equiv_pos_as_xyz
'x,y,z'
'y,-x,-z'
'-x,-y,z'
'-y,x,-z'
'x+1/2,y+1/2,z+1/2'
'y+1/2,-x+1/2,-z+1/2'
'-x+1/2,-y+1/2,z+1/2'
'-y+1/2,x+1/2,-z+1/2'
loop_
_atom_site_label
_atom_site_fract_x
_atom_site_fract_y
_atom_site_fract_z
K1 0.000 0.000 0.000
Mn1 0.000 0.500 0.250
Tl1 0.000 0.000 0.500
I1 0.194 0.699 0.364